Entry 1:
# MnZnAs2

Crystalline MnZnAs2 at its relaxed geometry (PBE, Alexandria).

**ΔE_f**: 0.126 eV per atom
**Space group**: No. 65

Lattice parameters (Å, degrees): 2.929 2.929 8.156 90.00 90.00 103.28
Each line ends with the local moment (μB).
Atoms (fractional coordinates):
As: 0.000 0.000 0.464  -0.08
Mn: 0.500 0.500 0.250  2.78
As: 0.000 0.000 0.036  -0.08
Zn: 0.500 0.500 0.750  -0.04


Entry 2:
# Dy4GePt3

Crystalline Dy4GePt3 at its relaxed geometry (PBE, Alexandria).

**ΔE_f**: -1.171 eV per atom
**Space group**: No. 25

Lattice parameters (Å, degrees): 3.887 4.335 10.708 90.00 90.00 90.00
Atoms (fractional coordinates):
Pt: 0.000 0.500 0.587
Dy: 0.500 0.500 0.365
Pt: 0.500 0.000 0.917
Pt: 0.000 0.000 0.410
Dy: 0.000 0.500 0.858
Dy: 0.000 0.000 0.139
Ge: 0.500 0.500 0.083
Dy: 0.500 0.000 0.641


Entry 3:
# Na3Ac3AlSe8

Crystalline Na3Ac3AlSe8 at its relaxed geometry (PBE, Alexandria).

**Energy relative to the elements, uncorrected**: -20.998 eV per formula unit
**Space group**: No. 166

Lattice parameters (Å, degrees): 8.797 8.796 8.629 120.65 90.00 120.00
Atoms (fractional coordinates):
Na: 0.000 0.000 0.000
Se: 0.216 0.432 0.719
Na: 0.000 0.500 0.000
Se: 0.750 0.499 0.749
Se: 0.216 0.002 0.719
Ac: 0.500 0.500 0.500
Se: 0.784 0.568 0.281
Se: 0.786 0.002 0.719
Se: 0.214 0.998 0.281
Se: 0.784 0.998 0.281
Ac: 0.000 0.500 0.500
Na: 0.500 0.500 0.000
Ac: 0.500 0.000 0.500
Se: 0.250 0.501 0.251
Al: 0.000 0.000 0.500


Number 1: density of states at the Fermi level 1.72 states/eV/cell. Number 2: density of states at the Fermi level 6.30 states/eV/cell. Number 3: density of states at the Fermi level 18.88 states/eV/cell.